Below is a relaxed structure of Li2MgIn6, with properties calculated at the PBE level.

extended XYZ file:
```
9
Lattice="5.342 -3.973 0.000 5.342 3.973 0.000 -1.991 0.000 5.110" Properties=species:S:1:pos:R:3 pbc="T T T"
Li 1.421 0.000 0.875
Li 7.271 0.000 4.235
Mg 4.346 0.000 2.555
In 2.845 2.499 1.649
In 5.342 1.510 0.000
In 5.847 2.499 3.461
In 2.845 -2.499 1.649
In 5.342 -1.510 0.000
In 5.847 -2.499 3.461
```

Calculated values
**ΔE to the lowest computed polymorph**: 0.10 eV/f.u.
**DFT formation energy**: -0.091 eV/atom
**Magnetization**: 0.0 μB/f.u.
**Fermi-level density of states**: 3.71 states/eV/f.u.

---

Below is a relaxed structure of OsRh2, with properties calculated at the PBE level.

extended XYZ file:
```
6
Lattice="0.000 3.540 3.540 3.540 0.000 3.540 3.540 3.540 0.000" Properties=species:S:1:pos:R:3 pbc="T T T"
Os 0.885 0.885 0.885
Os 6.195 6.195 6.195
Rh 3.540 1.770 1.770
Rh 1.770 3.540 1.770
Rh 1.770 1.770 3.540
Rh 3.540 3.540 3.540
```

Calculated values
**ΔE to the lowest computed polymorph**: 1.94 eV/f.u.
**DFT formation energy**: 0.663 eV/atom
**Magnetization**: 0.0 μB/f.u.
**Fermi-level density of states**: 3.53 states/eV/f.u.

---

Below is a relaxed structure of K2Cd3Pb5, with properties calculated at the PBE level.

extended XYZ file:
```
20
Lattice="-6.524 7.151 3.630 6.524 -7.151 3.630 6.524 7.151 -3.630" Properties=species:S:1:pos:R:3 pbc="T T T"
K 3.224 1.840 0.000
K 3.224 -1.840 3.630
K 3.300 8.991 0.000
K 3.300 5.311 3.630
Cd 11.296 1.773 0.000
Cd 6.524 0.000 1.815
Cd 4.772 5.378 0.000
Cd 1.753 1.773 3.630
Cd 0.000 7.151 1.815
Cd -4.772 5.378 3.630
Pb 6.524 -3.540 1.815
Pb 8.360 1.648 0.000
Pb 0.000 0.000 1.815
Pb 1.836 5.503 0.000
Pb 6.524 3.540 1.815
Pb 0.000 3.611 1.815
Pb 4.689 1.648 3.630
Pb 0.000 0.000 5.445
Pb -1.836 5.503 3.630
Pb 0.000 10.692 1.815
```

Calculated values
**DFT formation energy**: -0.095 eV/atom
**Magnetization**: 0.0 μB/f.u.
**Fermi-level density of states**: 4.22 states/eV/f.u.

---

Below is a relaxed structure of AcLaSm5Dy2, with properties calculated at the PBE level.

extended XYZ file:
```
18
Lattice="2.861 -10.002 0.000 2.861 10.002 0.000 0.000 0.000 11.124" Properties=species:S:1:pos:R:3 pbc="T T T"
Ac 2.861 5.764 5.562
Ac 2.861 -5.764 0.000
La 2.861 1.621 10.579
La 2.861 -1.621 5.017
Sm 2.861 9.626 5.909
Sm 2.861 4.268 8.869
Sm 2.861 4.094 2.231
Sm 2.861 2.056 5.853
Sm 2.861 0.460 2.648
Sm 2.861 -0.460 8.210
Sm 2.861 -2.056 0.291
Sm 2.861 -4.094 7.793
Sm 2.861 -4.268 3.307
Sm 2.861 -9.626 0.347
Dy 2.861 7.861 2.597
Dy 2.861 7.645 9.158
Dy 2.861 -7.645 3.596
Dy 2.861 -7.861 8.159
```

Calculated values
**DFT formation energy**: 0.151 eV/atom
**Magnetization**: 0.0 μB/f.u.
**Fermi-level density of states**: 13.31 states/eV/f.u.

---

Below is a relaxed structure of Ag2RhAu, with properties calculated at the PBE level.

extended XYZ file:
```
4
Lattice="4.789 -1.409 0.000 4.789 1.409 0.000 -0.824 0.000 5.021" Properties=species:S:1:pos:R:3 pbc="T T T"
Ag 0.000 0.000 0.000
Ag 1.735 0.000 3.789
Rh 4.360 0.000 2.502
Au 6.999 0.000 1.327
```

Calculated values
**DFT formation energy**: 0.154 eV/atom
**Magnetization**: 0.8 μB/f.u.
**Fermi-level density of states**: 2.79 states/eV/f.u.

---

Below is a relaxed structure of La6Si2PdCl3, with properties calculated at the PBE level.

extended XYZ file:
```
12
Lattice="9.238 -2.173 0.000 9.238 2.173 0.000 -1.651 0.000 8.442" Properties=species:S:1:pos:R:3 pbc="T T T"
La -0.366 0.000 2.098
La 5.404 0.000 3.563
La 4.780 0.000 7.617
La 12.046 0.000 0.825
La 11.421 0.000 4.880
La 17.192 0.000 6.344
Si 2.479 0.000 2.845
Si 14.346 0.000 5.597
Pd 9.238 0.000 0.000
Cl 1.784 0.000 7.091
Cl 8.413 0.000 4.221
Cl 15.041 0.000 1.351
```

Calculated values
**Magnetization**: 0.0 μB/f.u.
**Fermi-level density of states**: 9.16 states/eV/f.u.
**Energy relative to the elements, uncorrected**: -14.615 eV per formula unit

---

- Look up the Fermi-level density of states of the first one.
  3.71 states/eV/f.u.

---

Copy entry 5 word for word.
Below is a relaxed structure of Ag2RhAu, with properties calculated at the PBE level.

extended XYZ file:
```
4
Lattice="4.789 -1.409 0.000 4.789 1.409 0.000 -0.824 0.000 5.021" Properties=species:S:1:pos:R:3 pbc="T T T"
Ag 0.000 0.000 0.000
Ag 1.735 0.000 3.789
Rh 4.360 0.000 2.502
Au 6.999 0.000 1.327
```

Calculated values
**DFT formation energy**: 0.154 eV/atom
**Magnetization**: 0.8 μB/f.u.
**Fermi-level density of states**: 2.79 states/eV/f.u.